Computed, not measured: a relaxed structure of CrPtS2N at the PBE level of DFT.

a = 4.641 Å, b = 4.641 Å, c = 3.456 Å
α = 90.00°, β = 90.00°, γ = 90.00°
Fractional positions:
Cr: 0.000 0.000 0.000
Pt: 0.500 0.500 0.500
S: 0.000 0.500 0.000
S: 0.500 0.000 0.000
N: 0.000 0.000 0.500

Calculated values
uncorrected formation energy: 462 meV per atom
excess energy over the best structure of this formula in the dataset: 0.0 meV/atom
calculated volume: 74 Å³/cell
final energy: -5.9866 eV/atom